(1)
# Ac3Si

A relaxed structure of Ac3Si (PBE, the Alexandria database).

Its uncorrected formation energy is -0.271 eV per atom. As for the density of states at the Fermi level: 44.0 states/eV/cell. Its total energy is -4.71 eV/atom. The value obtained for the calculated volume is 36.1 A^3/atom. The energy relative to the lowest polymorph listed for this composition comes out at 0.0116 eV per atom.

Cell lengths 6.5689, 13.2551, 13.2551 Å; angles 90.00, 90.00, 90.00 degrees
Closest atoms and distances in Å follow each position.
Atoms (fractional coordinates):
Si  0.2771  0.5449  0.2978  9 Ac 3.27-3.47
Ac  0.0225  0.5812  0.8838  2 Si 3.37-3.43, 2 Ac 3.74-3.76
Ac  0.4839  0.2215  0.6745  3 Si 3.33-3.46
Ac  0.9839  0.1745  0.2785  3 Si 3.33-3.46
Si  0.7229  0.2978  0.4551  9 Ac 3.27-3.47
Ac  0.9839  0.8255  0.7215  3 Si 3.33-3.46
Si  0.2771  0.4551  0.7022  9 Ac 3.27-3.47
Si  0.2229  0.9551  0.2022  9 Ac 3.27-3.47
Ac  0.2332  0.6348  0.5349  4 Si 3.27-3.47
Ac  0.7668  0.4651  0.6348  4 Si 3.27-3.47
Ac  0.0161  0.7215  0.1745  3 Si 3.33-3.46
Ac  0.5225  0.6162  0.0812  2 Si 3.37-3.43, 2 Ac 3.74-3.76
Ac  0.2668  0.8652  0.9651  4 Si 3.27-3.47
Ac  0.0161  0.2785  0.8255  3 Si 3.33-3.46
Ac  0.0225  0.4188  0.1162  2 Si 3.37-3.43, 2 Ac 3.74-3.76
Si  0.7229  0.7022  0.5449  9 Ac 3.27-3.47
Ac  0.5161  0.3255  0.2215  3 Si 3.33-3.46
Ac  0.5225  0.3838  0.9188  2 Si 3.37-3.43, 2 Ac 3.74-3.76
Ac  0.9775  0.1162  0.5812  2 Si 3.37-3.43, 2 Ac 3.74-3.76
Ac  0.7668  0.5349  0.3652  4 Si 3.27-3.47
Ac  0.4839  0.7785  0.3255  3 Si 3.33-3.46
Ac  0.2668  0.1348  0.0349  4 Si 3.27-3.47
Ac  0.2332  0.3652  0.4651  4 Si 3.27-3.47
Ac  0.5161  0.6745  0.7785  3 Si 3.33-3.46
Si  0.2229  0.0449  0.7978  9 Ac 3.27-3.47
Ac  0.4775  0.0812  0.3838  2 Si 3.37-3.43, 2 Ac 3.74-3.76
Ac  0.7332  0.9651  0.1348  4 Si 3.27-3.47
Ac  0.9775  0.8838  0.4188  2 Si 3.37-3.43, 2 Ac 3.74-3.76
Si  0.7771  0.7978  0.9551  9 Ac 3.27-3.47
Ac  0.4775  0.9188  0.6162  2 Si 3.37-3.43, 2 Ac 3.74-3.76
Si  0.7771  0.2022  0.0449  9 Ac 3.27-3.47
Ac  0.7332  0.0349  0.8652  4 Si 3.27-3.47

***

(2)
# Ac3Si

A relaxed structure of Ac3Si (PBE, the Alexandria database).

Its uncorrected formation energy is 0.019 eV per atom. As for the density of states at the Fermi level: 5.6 states/eV/cell. Its total energy is -4.42 eV/atom. The value obtained for the calculated volume is 41.6 A^3/atom. The energy relative to the lowest polymorph listed for this composition comes out at 0.3010 eV per atom.

Cell lengths 4.2688, 4.2153, 9.2518 Å; angles 90.00, 90.00, 90.00 degrees
Closest atoms and distances in Å follow each position.
Atoms (fractional coordinates):
Ac  0.5000  0.5000  0.1094  4 Si 3.12
Si  0.0000  0.0000  0.0165  6 Ac 3.12-3.23
Ac  0.0000  0.5000  0.4523  10 Ac 3.82-4.27
Ac  0.5000  0.0000  0.7552  2 Si 3.23

***

(3)
# AcSi4

A relaxed structure of AcSi4 (PBE, the Alexandria database).

Its uncorrected formation energy is 1.861 eV per atom. As for the density of states at the Fermi level: 6.4 states/eV/cell. Its total energy is -3.30 eV/atom. The value obtained for the calculated volume is 36.0 A^3/atom.

Cell lengths 5.6438, 5.6438, 5.6438 Å; angles 90.00, 90.00, 90.00 degrees
Closest atoms and distances in Å follow each position.
Atoms (fractional coordinates):
Si  0.5000  0.0000  0.5000  2 Ac 2.82
Si  0.5000  0.5000  0.0000  2 Ac 2.82
Ac  0.5000  0.5000  0.5000  6 Si 2.82
Si  0.0000  0.0000  0.0000  12 Si 3.99
Si  0.0000  0.5000  0.5000  2 Ac 2.82

***

(4)
# Ac3Si

A relaxed structure of Ac3Si (PBE, the Alexandria database).

Its uncorrected formation energy is -0.044 eV per atom. As for the density of states at the Fermi level: 8.8 states/eV/cell. Its total energy is -4.48 eV/atom. The value obtained for the calculated volume is 34.4 A^3/atom. The energy relative to the lowest polymorph listed for this composition comes out at 0.2379 eV per atom.

Cell lengths 7.5341, 7.5341, 5.5904 Å; angles 90.00, 90.00, 120.00 degrees
Closest atoms and distances in Å follow each position.
Atoms (fractional coordinates):
Si  0.3333  0.6667  0.7500  12 Ac 3.44-3.77
Ac  0.1801  0.3601  0.2500  4 Si 3.44-3.77, 6 Ac 3.46-3.65
Ac  0.8199  0.6399  0.7500  4 Si 3.44-3.77, 6 Ac 3.46-3.65
Ac  0.8199  0.1801  0.7500  4 Si 3.44-3.77, 6 Ac 3.46-3.65
Si  0.6667  0.3333  0.2500  12 Ac 3.44-3.77
Ac  0.6399  0.8199  0.2500  4 Si 3.44-3.77, 6 Ac 3.46-3.65
Ac  0.3601  0.1801  0.7500  4 Si 3.44-3.77, 6 Ac 3.46-3.65
Ac  0.1801  0.8199  0.2500  4 Si 3.44-3.77, 6 Ac 3.46-3.65

***

(5)
# AcSi5

A relaxed structure of AcSi5 (PBE, the Alexandria database).

Its uncorrected formation energy is 0.095 eV per atom. As for the density of states at the Fermi level: 2.5 states/eV/cell. Its total energy is -5.11 eV/atom. The value obtained for the calculated volume is 20.1 A^3/atom.

Cell lengths 4.7219, 4.6986, 5.9296 Å; angles 113.34, 90.00, 90.00 degrees
Closest atoms and distances in Å follow each position.
Atoms (fractional coordinates):
Si  0.5000  0.7872  0.5745  4 Si 2.49-2.51
Si  0.0000  0.7098  0.4196  4 Si 2.51
Si  0.5000  0.2128  0.4255  4 Si 2.49-2.51
Si  0.5000  0.5000  0.0000  10 Si 3.13-3.30, 4 Ac 3.33
Si  0.0000  0.2902  0.5804  4 Si 2.51
Ac  0.0000  0.0000  0.0000  14 Si 3.16-3.33

***

(6)
# Ac3Si

A relaxed structure of Ac3Si (PBE, the Alexandria database).

Its uncorrected formation energy is -0.148 eV per atom. As for the density of states at the Fermi level: 6.2 states/eV/cell. Its total energy is -4.58 eV/atom. The value obtained for the calculated volume is 39.2 A^3/atom. The energy relative to the lowest polymorph listed for this composition comes out at 0.1345 eV per atom.

Cell lengths 4.2151, 6.7324, 6.8069 Å; angles 119.64, 108.04, 90.00 degrees
Closest atoms and distances in Å follow each position.
Atoms (fractional coordinates):
Ac  0.3109  0.6797  0.6218  2 Si 3.20
Si  0.0000  0.0470  0.0000  6 Ac 3.09-3.20
Ac  0.6891  0.0579  0.3782  2 Si 3.20
Ac  0.5000  0.3821  0.0000  2 Si 3.09

***

(7)
# AcSi3

A relaxed structure of AcSi3 (PBE, the Alexandria database).

Its uncorrected formation energy is -0.251 eV per atom. As for the density of states at the Fermi level: 0.9 states/eV/cell. Its total energy is -5.35 eV/atom. The value obtained for the calculated volume is 22.5 A^3/atom. The energy relative to the lowest polymorph listed for this composition comes out at 0.0986 eV per atom.

Cell lengths 4.0975, 4.2067, 5.2322 Å; angles 90.00, 90.00, 90.00 degrees
Closest atoms and distances in Å follow each position.
Atoms (fractional coordinates):
Si  0.0000  0.0000  0.8653  2 Si 2.48
Si  0.5000  0.5000  0.8580  2 Si 2.51
Si  0.5000  0.0000  0.5970  4 Si 2.48-2.51
Ac  0.0000  0.5000  0.3464  12 Si 3.22-3.43

***

(8)
# Ac3Si

A relaxed structure of Ac3Si (PBE, the Alexandria database).

Its uncorrected formation energy is -0.057 eV per atom. As for the density of states at the Fermi level: 5.0 states/eV/cell. Its total energy is -4.49 eV/atom. The value obtained for the calculated volume is 34.2 A^3/atom. The energy relative to the lowest polymorph listed for this composition comes out at 0.2257 eV per atom.

Cell lengths 5.1535, 5.1535, 5.1535 Å; angles 90.00, 90.00, 90.00 degrees
Closest atoms and distances in Å follow each position.
Atoms (fractional coordinates):
Ac  0.5000  0.5000  0.0000  8 Ac 3.64, 4 Si 3.64
Ac  0.5000  0.0000  0.5000  8 Ac 3.64, 4 Si 3.64
Si  0.0000  0.0000  0.0000  12 Ac 3.64
Ac  0.0000  0.5000  0.5000  8 Ac 3.64, 4 Si 3.64

***

(9)
# Ac2Si

A relaxed structure of Ac2Si (PBE, the Alexandria database).

Its uncorrected formation energy is -0.374 eV per atom. As for the density of states at the Fermi level: 7.8 states/eV/cell. Its total energy is -4.92 eV/atom. The value obtained for the calculated volume is 35.0 A^3/atom. The energy relative to the lowest polymorph listed for this composition comes out at 0.0000 eV per atom.

Cell lengths 4.4967, 6.8628, 7.5810 Å; angles 78.55, 72.75, 70.88 degrees
Closest atoms and distances in Å follow each position.
Atoms (fractional coordinates):
Ac  0.8196  0.2792  0.0815  3 Si 3.20-3.46
Si  0.8908  0.5685  0.6500  1 Si 2.44
Si  0.1092  0.4315  0.3500  1 Si 2.44
Ac  0.4178  0.7977  0.3668  4 Si 3.28
Ac  0.5822  0.2023  0.6332  4 Si 3.28
Ac  0.1804  0.7208  0.9185  3 Si 3.20-3.46

***

(10)
# Ac2Si

A relaxed structure of Ac2Si (PBE, the Alexandria database).

Its uncorrected formation energy is -0.304 eV per atom. As for the density of states at the Fermi level: 3.9 states/eV/cell. Its total energy is -4.85 eV/atom. The value obtained for the calculated volume is 35.7 A^3/atom. The energy relative to the lowest polymorph listed for this composition comes out at 0.0699 eV per atom.

Cell lengths 5.3329, 5.3329, 5.3329 Å; angles 60.00, 60.00, 60.00 degrees
Closest atoms and distances in Å follow each position.
Atoms (fractional coordinates):
Ac  0.2500  0.2500  0.2500  4 Si 3.27
Ac  0.7500  0.7500  0.7500  4 Si 3.27
Si  0.0000  0.0000  0.0000  8 Ac 3.27

***

(11)
# Ac5Si6

A relaxed structure of Ac5Si6 (PBE, the Alexandria database).

Its uncorrected formation energy is -0.579 eV per atom. As for the density of states at the Fermi level: 8.7 states/eV/cell. Its total energy is -5.40 eV/atom. The value obtained for the calculated volume is 27.0 A^3/atom.

Cell lengths 4.7587, 4.1090, 15.3406 Å; angles 97.70, 90.00, 90.00 degrees
Closest atoms and distances in Å follow each position.
Atoms (fractional coordinates):
Si  0.0000  0.7252  0.4503  2 Si 2.55
Si  0.0000  0.2748  0.5497  2 Si 2.55
Ac  0.5000  0.8042  0.6083  7 Si 3.27-3.38
Ac  0.0000  0.6123  0.2247  7 Si 3.25-3.43
Si  0.5000  0.0850  0.1700  2 Si 2.47
Ac  0.0000  0.0000  0.0000  12 Si 3.37-3.51
Si  0.5000  0.4603  0.9205  3 Si 2.42-2.47
Si  0.5000  0.9150  0.8300  2 Si 2.47
Si  0.5000  0.5397  0.0795  3 Si 2.42-2.47
Ac  0.0000  0.3877  0.7753  7 Si 3.25-3.43
Ac  0.5000  0.1958  0.3917  7 Si 3.27-3.38

***

(12)
# AcSi6

A relaxed structure of AcSi6 (PBE, the Alexandria database).

Its uncorrected formation energy is -0.016 eV per atom. As for the density of states at the Fermi level: 4.7 states/eV/cell. Its total energy is -5.25 eV/atom. The value obtained for the calculated volume is 21.5 A^3/atom.

Cell lengths 5.8020, 5.8020, 5.8020 Å; angles 109.47, 109.47, 109.47 degrees
Closest atoms and distances in Å follow each position.
Atoms (fractional coordinates):
Si  0.5000  0.2500  0.7500  4 Si 2.37
Si  0.7500  0.2500  0.5000  4 Si 2.37
Si  0.2500  0.7500  0.5000  4 Si 2.37
Si  0.7500  0.5000  0.2500  4 Si 2.37
Ac  0.0000  0.0000  0.0000  24 Si 3.75
Si  0.5000  0.7500  0.2500  4 Si 2.37
Si  0.2500  0.5000  0.7500  4 Si 2.37

***

> Number 1 is which compound?

Ac3Si